# 1
This record from Alexandria via LeMat-Bulk describes a geometry-optimized BaTcOsN2 structure. The functional is PBE.

- SG = P4/mmm
- formation energy from raw total energies (eV per atom) = 0.980

Lattice parameters (Å, degrees): 3.9849 3.9849 5.1366 90.00 90.00 90.00
Closest atoms and distances in Å follow each position.
Fractional positions:
Ba 0.0000 0.0000 0.0000  4 Tc 2.82
Tc 0.5000 0.5000 0.0000  2 Os 2.57, 4 Ba 2.82
Os 0.5000 0.5000 0.5000  4 N 1.99
N 0.0000 0.5000 0.5000  2 Os 1.99
N 0.5000 0.0000 0.5000  2 Os 1.99

# 2
This record from Alexandria via LeMat-Bulk describes a geometry-optimized TePtPb structure. The functional is PBE.

- SG = P-1
- formation energy from raw total energies (eV per atom) = -0.147

Lattice parameters (Å, degrees): 4.2089 6.9845 7.0230 118.77 90.53 107.31
Closest atoms and distances in Å follow each position.
Fractional positions:
Te 0.1298 0.2468 0.3825  2 Pt 2.59-2.65
Te 0.8702 0.7532 0.6175  2 Pt 2.59-2.65
Pt 0.0950 0.1964 0.7249  2 Te 2.59-2.65, 3 Pb 2.82-2.87
Pt 0.9050 0.8036 0.2751  2 Te 2.59-2.65, 3 Pb 2.82-2.87
Pb 0.3465 0.6963 0.9699  3 Pt 2.82-2.87
Pb 0.6535 0.3037 0.0301  3 Pt 2.82-2.87

# 3
This record from Alexandria via LeMat-Bulk describes a geometry-optimized Rb2PrCuCl6 structure. The functional is PBE.

- SG = Fm-3m
- formation energy from raw total energies (eV per atom) = -1.744

Lattice parameters (Å, degrees): 7.4993 7.4993 7.4993 60.00 60.00 60.00
Closest atoms and distances in Å follow each position.
Fractional positions:
Rb 0.2500 0.2500 0.2500  12 Cl 3.75
Rb 0.7500 0.7500 0.7500  12 Cl 3.75
Pr 0.0000 0.0000 0.0000  6 Cl 2.75
Cu 0.5000 0.5000 0.5000  6 Cl 2.55
Cl 0.2592 0.2592 0.7408  1 Cu 2.55, 1 Pr 2.75
Cl 0.2592 0.7408 0.2592  1 Cu 2.55, 1 Pr 2.75
Cl 0.2592 0.7408 0.7408  1 Cu 2.55, 1 Pr 2.75
Cl 0.7408 0.2592 0.2592  1 Cu 2.55, 1 Pr 2.75
Cl 0.7408 0.2592 0.7408  1 Cu 2.55, 1 Pr 2.75
Cl 0.7408 0.7408 0.2592  1 Cu 2.55, 1 Pr 2.75

# 4
This record from Alexandria via LeMat-Bulk describes a geometry-optimized SbH structure. The functional is PBE.

- SG = F-43m
- VASP energy (eV/atom) = -3.0420

Lattice parameters (Å, degrees): 3.5980 3.5980 3.5980 60.00 60.00 60.00
Closest atoms and distances in Å follow each position.
Fractional positions:
Sb 0.0000 0.0000 0.0000  4 H 2.20
H 0.2500 0.2500 0.2500  4 Sb 2.20

# 5
This record from Alexandria via LeMat-Bulk describes a geometry-optimized PaMn4Se8 structure. The functional is PBE.

- SG = R-3m
- formation energy from raw total energies (eV per atom) = -0.635

Lattice parameters (Å, degrees): 7.6856 7.6856 7.6856 58.66 58.66 58.66
Closest atoms and distances in Å follow each position.
Fractional positions:
Pa 0.0000 0.0000 0.0000  6 Se 2.77
Mn 0.0000 0.0000 0.5000  6 Se 2.54-2.65
Mn 0.0000 0.5000 0.0000  6 Se 2.54-2.65
Mn 0.5000 0.0000 0.0000  6 Se 2.54-2.65
Mn 0.5000 0.5000 0.5000  6 Se 2.61
Se 0.2361 0.2361 0.2361  3 Mn 2.54
Se 0.2501 0.7423 0.7423  3 Mn 2.61-2.65, 1 Pa 2.77
Se 0.2577 0.2577 0.7499  3 Mn 2.61-2.65, 1 Pa 2.77
Se 0.2577 0.7499 0.2577  3 Mn 2.61-2.65, 1 Pa 2.77
Se 0.7423 0.2501 0.7423  3 Mn 2.61-2.65, 1 Pa 2.77
Se 0.7423 0.7423 0.2501  3 Mn 2.61-2.65, 1 Pa 2.77
Se 0.7499 0.2577 0.2577  3 Mn 2.61-2.65, 1 Pa 2.77
Se 0.7639 0.7639 0.7639  3 Mn 2.54

# 6
This record from Alexandria via LeMat-Bulk describes a geometry-optimized Sm4ScRh5 structure. The functional is PBE.

- SG = P4/mmm
- energy relative to the elements (eV/atom) = -0.75

Lattice parameters (Å, degrees): 3.4034 3.4034 17.6875 90.00 90.00 90.00
Closest atoms and distances in Å follow each position.
Fractional positions:
Sm 0.0000 0.0000 0.1028  8 Rh 3.02
Sm 0.0000 0.0000 0.3082  8 Rh 3.01-3.04
Sm 0.0000 0.0000 0.6918  8 Rh 3.01-3.04
Sm 0.0000 0.0000 0.8972  8 Rh 3.02
Sc 0.0000 0.0000 0.5000  8 Rh 2.85
Rh 0.5000 0.5000 0.0000  8 Sm 3.02
Rh 0.5000 0.5000 0.2058  8 Sm 3.01-3.02
Rh 0.5000 0.5000 0.4133  4 Sc 2.85, 4 Sm 3.04, 1 Rh 3.07
Rh 0.5000 0.5000 0.5867  4 Sc 2.85, 4 Sm 3.04, 1 Rh 3.07
Rh 0.5000 0.5000 0.7942  8 Sm 3.01-3.02

# 7
This record from Alexandria via LeMat-Bulk describes a geometry-optimized Y2VAsIr structure. The functional is PBE.

- SG = P4/mmm
- energy relative to the elements (eV/atom) = 0.24

Lattice parameters (Å, degrees): 5.3531 5.3531 4.5395 90.00 90.00 90.00
Closest atoms and distances in Å follow each position.
Fractional positions:
Y 0.0000 0.5000 0.0000  2 As 2.68
Y 0.5000 0.0000 0.0000  2 As 2.68
V 0.0000 0.0000 0.5000  8 Y 3.51, 4 Ir 3.79
As 0.5000 0.5000 0.0000  2 Ir 2.27
Ir 0.5000 0.5000 0.5000  2 As 2.27

# 8
This record from Alexandria via LeMat-Bulk describes a geometry-optimized CeZn2CdAu2 structure. The functional is PBE.

- SG = P-3m1
- energy relative to the elements (eV/atom) = -0.41

Lattice parameters (Å, degrees): 4.5757 4.5757 6.8022 90.00 90.00 120.00
Closest atoms and distances in Å follow each position.
Fractional positions:
Ce 0.0000 0.0000 0.0000  6 Au 3.20, 6 Zn 3.30, 2 Cd 3.40
Zn 0.3333 0.6667 0.2904  3 Au 2.65
Zn 0.6667 0.3333 0.7096  3 Au 2.65
Cd 0.0000 0.0000 0.5000  6 Zn 3.00, 6 Au 3.09
Au 0.3333 0.6667 0.7343  3 Zn 2.65
Au 0.6667 0.3333 0.2657  3 Zn 2.65

# 9
This record from Alexandria via LeMat-Bulk describes a geometry-optimized PuFePt structure. The functional is PBE.

- SG = Fddd
- energy relative to the elements (eV/atom) = -0.01

Lattice parameters (Å, degrees): 9.8359 9.0609 5.5177 80.91 65.45 33.64
Closest atoms and distances in Å follow each position.
Fractional positions:
Pu 0.0443 0.0443 0.2057  1 Pu 2.78, 4 Pt 2.88-2.90
Pu 0.2057 0.2057 0.0443  1 Pu 2.78, 4 Pt 2.88-2.90
Pu 0.7943 0.7943 0.9557  1 Pu 2.78, 4 Pt 2.88-2.90
Pu 0.9557 0.9557 0.7943  1 Pu 2.78, 4 Pt 2.88-2.90
Fe 0.1943 0.5557 0.1943  4 Pt 2.70-2.71
Fe 0.4443 0.8057 0.4443  4 Pt 2.70-2.71
Fe 0.5557 0.1943 0.5557  4 Pt 2.70-2.71
Fe 0.8057 0.4443 0.8057  4 Pt 2.70-2.71
Pt 0.2538 0.2538 0.4962  4 Fe 2.70-2.71, 2 Pt 2.76, 4 Pu 2.88-2.90
Pt 0.4962 0.4962 0.2538  4 Fe 2.70-2.71, 2 Pt 2.76, 4 Pu 2.88-2.90
Pt 0.5038 0.5038 0.7462  4 Fe 2.70-2.71, 2 Pt 2.76, 4 Pu 2.88-2.90
Pt 0.7462 0.7462 0.5038  4 Fe 2.70-2.71, 2 Pt 2.76, 4 Pu 2.88-2.90

# 10
This record from Alexandria via LeMat-Bulk describes a geometry-optimized TbHo4Zr structure. The functional is PBE.

- SG = C2/c
- energy relative to the elements (eV/atom) = 0.14

Lattice parameters (Å, degrees): 8.3314 8.3314 6.2310 100.09 100.09 116.13
Closest atoms and distances in Å follow each position.
Fractional positions:
Tb 0.0927 0.9073 0.7500  10 Ho 3.43-3.68
Tb 0.9073 0.0927 0.2500  10 Ho 3.43-3.68
Ho 0.0946 0.3261 0.8658  2 Zr 3.28-3.33, 4 Ho 3.35-3.64, 2 Tb 3.43-3.49
Ho 0.2180 0.5929 0.4607  2 Zr 3.15-3.19, 4 Ho 3.35-3.43
Ho 0.3261 0.0946 0.3658  2 Zr 3.28-3.33, 4 Ho 3.35-3.64, 2 Tb 3.43-3.49
Ho 0.4071 0.7820 0.0393  2 Zr 3.15-3.19, 4 Ho 3.35-3.43
Ho 0.5929 0.2180 0.9607  2 Zr 3.15-3.19, 4 Ho 3.35-3.43
Ho 0.6739 0.9054 0.6342  2 Zr 3.28-3.33, 4 Ho 3.35-3.64, 2 Tb 3.43-3.49
Ho 0.7820 0.4071 0.5393  2 Zr 3.15-3.19, 4 Ho 3.35-3.43
Ho 0.9054 0.6739 0.1342  2 Zr 3.28-3.33, 4 Ho 3.35-3.64, 2 Tb 3.43-3.49
Zr 0.4970 0.5030 0.2500  2 Zr 3.12, 8 Ho 3.15-3.33
Zr 0.5030 0.4970 0.7500  2 Zr 3.12, 8 Ho 3.15-3.33

# 11
This record from Alexandria via LeMat-Bulk describes a geometry-optimized Dy2AsPb structure. The functional is PBE.

- SG = P-3m1
- energy relative to the elements (eV/atom) = -0.89

Lattice parameters (Å, degrees): 3.9254 3.9254 8.3147 90.00 90.00 120.00
Closest atoms and distances in Å follow each position.
Fractional positions:
Dy 0.3333 0.6667 0.2041  3 As 2.83
Dy 0.6667 0.3333 0.7959  3 As 2.83
As 0.0000 0.0000 0.0000  6 Dy 2.83
Pb 0.0000 0.0000 0.5000  6 Dy 3.34

# 12
This record from Alexandria via LeMat-Bulk describes a geometry-optimized NiHgCl structure. The functional is PBE.

- SG = P3m1
- formation energy from raw total energies (eV per atom) = -0.049

Lattice parameters (Å, degrees): 3.5083 3.5083 5.9788 90.00 90.00 120.00
Closest atoms and distances in Å follow each position.
Fractional positions:
Ni 0.0000 0.0000 0.0000  3 Cl 2.31
Hg 0.3333 0.6667 0.6921  3 Ni 2.74
Cl 0.6667 0.3333 0.1873  3 Ni 2.31

# 13
This record from Alexandria via LeMat-Bulk describes a geometry-optimized MgB5Ir6 structure. The functional is PBE.

- SG = P-1
- energy relative to the elements (eV/atom) = -0.18

Lattice parameters (Å, degrees): 3.4357 6.5880 7.1229 110.93 90.01 105.05
Closest atoms and distances in Å follow each position.
Fractional positions:
Mg 0.0000 0.0000 0.0000  4 B 2.53, 6 Ir 2.76-2.80
B 0.0000 0.0000 0.5000  6 Ir 2.15-2.20
B 0.3405 0.6811 0.7151  1 B 2.05, 4 Ir 2.17-2.28
B 0.3572 0.7130 0.0116  1 B 2.05, 4 Ir 2.09-2.15
B 0.6428 0.2870 0.9884  1 B 2.05, 4 Ir 2.09-2.15
B 0.6595 0.3189 0.2849  1 B 2.05, 4 Ir 2.17-2.28
Ir 0.1629 0.3254 0.4735  4 B 2.15-2.28
Ir 0.2327 0.4672 0.1497  5 B 2.13-2.33
Ir 0.4852 0.9688 0.2986  4 B 2.09-2.27
Ir 0.5148 0.0312 0.7014  4 B 2.09-2.27
Ir 0.7673 0.5328 0.8503  5 B 2.13-2.33
Ir 0.8371 0.6746 0.5265  4 B 2.15-2.28

# 14
This record from Alexandria via LeMat-Bulk describes a geometry-optimized KBePt2W structure. The functional is PBE.

- SG = P4/mmm
- energy relative to the elements (eV/atom) = 1.62

Lattice parameters (Å, degrees): 4.8695 4.8695 6.2162 90.00 90.00 90.00
Closest atoms and distances in Å follow each position.
Fractional positions:
K 0.0000 0.0000 0.0000  2 W 3.11, 4 Be 3.44
Be 0.5000 0.5000 0.0000  4 K 3.44
Pt 0.0000 0.5000 0.5000  2 W 2.43
Pt 0.5000 0.0000 0.5000  2 W 2.43
W 0.0000 0.0000 0.5000  4 Pt 2.43

# 15
This record from Alexandria via LeMat-Bulk describes a geometry-optimized BaAs2Ir structure. The functional is PBE.

- SG = P4/mmm
- energy relative to the elements (eV/atom) = 0.27

Lattice parameters (Å, degrees): 4.4809 4.4809 4.5291 90.00 90.00 90.00
Closest atoms and distances in Å follow each position.
Fractional positions:
Ba 0.0000 0.0000 0.0000  4 Ir 3.17, 8 As 3.19
As 0.0000 0.5000 0.5000  4 As 3.17, 4 Ba 3.19, 4 Ir 3.19
As 0.5000 0.0000 0.5000  4 As 3.17, 4 Ba 3.19, 4 Ir 3.19
Ir 0.5000 0.5000 0.0000  4 Ba 3.17, 8 As 3.19

# 16
This record from Alexandria via LeMat-Bulk describes a geometry-optimized KMo2Br2 structure. The functional is PBE.

- SG = I4/mmm
- formation energy from raw total energies (eV per atom) = 0.446

Lattice parameters (Å, degrees): 7.4412 7.4412 7.4412 147.39 147.39 46.79
Closest atoms and distances in Å follow each position.
Fractional positions:
K 0.0000 0.0000 0.0000  8 Br 3.52
Mo 0.2500 0.7500 0.5000  4 Br 2.57
Mo 0.7500 0.2500 0.5000  4 Br 2.57
Br 0.3600 0.3600 0.0000  4 Mo 2.57
Br 0.6400 0.6400 0.0000  4 Mo 2.57

# 17
This record from Alexandria via LeMat-Bulk describes a geometry-optimized SrCrSb2Te structure. The functional is PBE.

- SG = P4/mmm
- formation energy from raw total energies (eV per atom) = -0.229

Lattice parameters (Å, degrees): 5.0148 5.0148 6.1056 90.00 90.00 90.00
Closest atoms and distances in Å follow each position.
Fractional positions:
Sr 0.0000 0.0000 0.0000  4 Te 3.55, 8 Sb 3.95
Cr 0.5000 0.5000 0.5000  4 Sb 2.51
Sb 0.0000 0.5000 0.5000  2 Cr 2.51
Sb 0.5000 0.0000 0.5000  2 Cr 2.51
Te 0.5000 0.5000 0.0000  2 Cr 3.05

# 18
This record from Alexandria via LeMat-Bulk describes a geometry-optimized Sc2HPdRh structure. The functional is PBE.

- SG = P4/mmm
- VASP energy (eV/atom) = -6.5023

Lattice parameters (Å, degrees): 4.5763 4.5763 3.5061 90.00 90.00 90.00
Closest atoms and distances in Å follow each position.
Fractional positions:
Sc 0.0000 0.5000 0.0000  2 H 2.29
Sc 0.5000 0.0000 0.0000  2 H 2.29
H 0.0000 0.0000 0.0000  2 Rh 1.75
Pd 0.5000 0.5000 0.5000  8 Sc 2.88
Rh 0.0000 0.0000 0.5000  2 H 1.75

# 19
This record from Alexandria via LeMat-Bulk describes a geometry-optimized RbSb2IO structure. The functional is PBE.

- SG = P4/mmm
- formation energy from raw total energies (eV per atom) = -0.351

Lattice parameters (Å, degrees): 4.6744 4.6744 8.0453 90.00 90.00 90.00
Closest atoms and distances in Å follow each position.
Fractional positions:
Rb 0.0000 0.0000 0.0000  4 I 3.31
Sb 0.0000 0.5000 0.5000  2 O 2.34
Sb 0.5000 0.0000 0.5000  2 O 2.34
I 0.5000 0.5000 0.0000  4 Rb 3.31
O 0.5000 0.5000 0.5000  4 Sb 2.34

no.,DOS at the Fermi energy (states/eV per cell),calculated density (kg/m3),V (A^3/atom)
1,4.9,9234,16.31
2,2.9,10359,28.31
3,0.0,3275,29.82
4,1.4,6190,16.47
5,7.1,5777,23.94
6,6.9,9410,20.49
7,7.2,6330,26.02
8,7.6,10465,20.56
9,31.5,14299,19.16
10,19.9,8247,30.53
11,2.7,9086,27.74
12,3.6,7680,21.24
13,4.3,14139,12.05
14,4.6,7009,29.48
15,3.5,8754,22.73
16,4.5,5442,23.85
17,2.2,5523,30.71
18,2.3,6790,14.69
19,4.8,4457,35.16